The following is a GGA-PBE calculation of a relaxed structure of Zr2InO, from Alexandria via LeMat-Bulk.

a b c (Å): 3.2539 3.2539 7.9356
angles (deg): 78.17 78.17 60.00
Atoms (fractional coordinates):
Zr (0.0594, 0.0594, 0.8219)
Zr (0.2743, 0.2743, 0.1771)
In (0.4997, 0.4997, 0.5009)
O (0.6666, 0.6666, 0.0001)

Output
Its space group is R3m, No. 160. The value obtained for the density of states at the Fermi level is 0.77 states/eV per atom. As for the total energy: -0.276 hartree per atom. Its magnetic moment is 0.00 μB per atom. The uncorrected formation energy comes out at -1315 meV per atom.